Record 1
A plane-wave DFT calculation with GGA-PBE was carried out for a geometry-optimized Tm2Zn5Ni4 structure.

Values from the calculation:
energy of formation: -0.330 eV per atom
D(E_F): 26.719 states/eV/cell

Unit cell a=5.112 b=8.657 c=15.810 alpha=90.00 beta=90.00 gamma=90.00
Space group Fmmm (No. 69)
Inequivalent atoms, fractional coordinates:
Tm1 0.000 0.000 0.139
Zn1 0.000 0.000 0.500
Zn2 0.250 0.250 0.000
Zn3 0.250 0.250 0.250
Ni1 0.000 0.158 0.372

---

Record 2
A plane-wave DFT calculation with GGA-PBE was carried out for a geometry-optimized ReHg2W structure.

Values from the calculation:
energy of formation: 0.500 eV per atom
excess energy over the best structure of this formula in the dataset: 0.00 eV per formula unit
D(E_F): 3.120 states/eV/cell

Unit cell a=3.072 b=3.072 c=8.206 alpha=90.00 beta=90.00 gamma=90.00
Space group P4mm (No. 99)
Inequivalent atoms, fractional coordinates:
Re1 0.000 0.000 0.000
Hg1 0.000 0.000 0.438
Hg2 0.500 0.500 0.737
W1 0.500 0.500 0.170

---

Record 3
A plane-wave DFT calculation with GGA-PBE was carried out for a geometry-optimized SrCuPd3 structure.

Values from the calculation:
energy of formation: -0.067 eV per atom
excess energy over the best structure of this formula in the dataset: 0.00 eV per formula unit
D(E_F): 3.786 states/eV/cell

Unit cell a=4.742 b=4.742 c=4.742 alpha=90.00 beta=90.00 gamma=90.00
Space group Pm-3m (No. 221)
Inequivalent atoms, fractional coordinates:
Sr1 0.000 0.000 0.000
Cu1 0.500 0.500 0.500
Pd1 0.000 0.500 0.500

---

Record 4
A plane-wave DFT calculation with GGA-PBE was carried out for a geometry-optimized Pm8SmIr6 structure.

Values from the calculation:
energy of formation: -0.630 eV per atom
D(E_F): 32.076 states/eV/cell

Unit cell a=8.4722 b=8.4722 c=18.5380 alpha=90.00 beta=90.00 gamma=120.00
Space group R-3 (No. 148, hexagonal axes)
Inequivalent atoms, fractional coordinates:
Pm1 0.0000 0.0000 0.1667
Pm2 0.9997 0.3325 0.3880
Sm1 0.0000 0.0000 0.5000
Ir1 0.9998 0.3329 0.5573

---

Record 5
A plane-wave DFT calculation with GGA-PBE was carried out for a geometry-optimized AcTl2Ga structure.

Values from the calculation:
energy of formation: -0.301 eV per atom
excess energy over the best structure of this formula in the dataset: 0.00 eV per formula unit
D(E_F): 1.545 states/eV/cell

Unit cell a=4.835 b=4.835 c=5.006 alpha=90.00 beta=90.00 gamma=90.00
Space group P4/mmm (No. 123)
Inequivalent atoms, fractional coordinates:
Ac1 0.000 0.000 0.000
Tl1 0.000 0.500 0.500
Ga1 0.500 0.500 0.000

---

Record 6
A plane-wave DFT calculation with GGA-PBE was carried out for a geometry-optimized Ru structure.

Values from the calculation:
energy of formation: 1.497 eV per atom
excess energy over the best structure of this formula in the dataset: 1.50 eV per formula unit
D(E_F): 9.721 states/eV/cell

Unit cell a=7.479 b=7.479 c=7.479 alpha=90.00 beta=90.00 gamma=90.00
Space group Im-3m (No. 229)
Inequivalent atoms, fractional coordinates:
Ru1 0.159 0.159 0.159

---

Record 7
A plane-wave DFT calculation with GGA-PBE was carried out for a geometry-optimized Tc2C structure.

Values from the calculation:
energy of formation: 1.009 eV per atom
excess energy over the best structure of this formula in the dataset: 2.80 eV per formula unit
D(E_F): 4.726 states/eV/cell

Unit cell a=2.840 b=4.088 c=6.477 alpha=90.00 beta=90.00 gamma=90.00
Space group Immm (No. 71)
Inequivalent atoms, fractional coordinates:
Tc1 0.000 0.000 0.184
C1 0.000 0.000 0.500

---

Record 8
A plane-wave DFT calculation with GGA-PBE was carried out for a geometry-optimized AcTb10Er4 structure.

Values from the calculation:
energy of formation: 0.525 eV per atom
D(E_F): 59.056 states/eV/cell

Unit cell a=12.686 b=12.686 c=6.691 alpha=90.00 beta=90.00 gamma=90.00
Space group I4/m (No. 87)
Inequivalent atoms, fractional coordinates:
Ac1 0.000 0.000 0.000
Tb1 0.000 0.500 0.250
Tb2 0.129 0.710 0.249
Er1 0.068 0.180 0.500

---

Record 9
A plane-wave DFT calculation with GGA-PBE was carried out for a geometry-optimized SrAc3Pr2Se6 structure.

Values from the calculation:
E_form (uncorrected): -1.875 eV/atom
D(E_F): 12.578 states/eV/cell

Unit cell a=7.603 b=13.183 c=7.597 alpha=90.00 beta=109.41 gamma=90.00
Space group C2/m (No. 12)
Inequivalent atoms, fractional coordinates:
Sr1 0.000 0.000 0.000
Ac1 0.000 0.166 0.500
Ac2 0.000 0.500 0.500
Pr1 0.000 0.333 0.000
Se1 0.245 0.500 0.238
Se2 0.247 0.167 0.241

---

Record 10
A plane-wave DFT calculation with GGA-PBE was carried out for a geometry-optimized Ta2Be2ZnCo5 structure.

Values from the calculation:
energy of formation: -0.278 eV per atom
D(E_F): 7.617 states/eV/cell

Unit cell a=8.542 b=8.542 c=3.134 alpha=90.00 beta=90.00 gamma=90.00
Space group P4/mbm (No. 127)
Inequivalent atoms, fractional coordinates:
Ta1 0.178 0.322 0.000
Be1 0.118 0.618 0.000
Zn1 0.000 0.000 0.000
Co1 0.000 0.500 0.500
Co2 0.070 0.785 0.500

---

Record 11
A plane-wave DFT calculation with GGA-PBE was carried out for a geometry-optimized LiZnIrF6 structure.

Values from the calculation:
E_form (uncorrected): -1.985 eV/atom
D(E_F): 0.000 states/eV/cell

Unit cell a=5.3462 b=5.3462 c=8.8633 alpha=90.00 beta=90.00 gamma=120.00
Space group P-31c (No. 163)
Inequivalent atoms, fractional coordinates:
Li1 0.0000 0.0000 0.0000
Zn1 0.3333 0.6667 0.2500
Ir1 0.3333 0.6667 0.7500
F1 0.0050 0.3426 0.6308

---

Record 12
A plane-wave DFT calculation with GGA-PBE was carried out for a geometry-optimized TlH2Cl6 structure.

Values from the calculation:
excess energy over the best structure of this formula in the dataset: 0.00 eV per formula unit
D(E_F): 3.610 states/eV/cell

Unit cell a=12.239 b=4.420 c=10.667 alpha=90.00 beta=109.45 gamma=90.00
Space group C2/m (No. 12)
Inequivalent atoms, fractional coordinates:
Tl1 0.000 0.000 0.000
H1 0.176 0.000 0.806
Cl1 0.062 0.000 0.743
Cl2 0.145 0.500 0.093
Cl3 0.236 0.500 0.518

---

Record 13
A plane-wave DFT calculation with GGA-PBE was carried out for a geometry-optimized NbVBPb2 structure.

Values from the calculation:
energy of formation: 1.103 eV per atom
D(E_F): 6.592 states/eV/cell

Unit cell a=4.872 b=4.872 c=4.269 alpha=90.00 beta=90.00 gamma=90.00
Space group P4/mmm (No. 123)
Inequivalent atoms, fractional coordinates:
Nb1 0.000 0.000 0.000
V1 0.500 0.500 0.000
B1 0.000 0.000 0.500
Pb1 0.000 0.500 0.500

---

Record 14
A plane-wave DFT calculation with GGA-PBE was carried out for a geometry-optimized LaScCuSn structure.

Values from the calculation:
energy of formation: -0.374 eV per atom
D(E_F): 17.930 states/eV/cell

Unit cell a=7.313 b=7.313 c=7.313 alpha=90.00 beta=90.00 gamma=90.00
Space group F-43m (No. 216)
Inequivalent atoms, fractional coordinates:
La1 0.000 0.000 0.000
Sc1 0.000 0.000 0.500
Cu1 0.250 0.250 0.250
Sn1 0.250 0.250 0.750

---

Record 15
A plane-wave DFT calculation with GGA-PBE was carried out for a geometry-optimized Cs2RuO5 structure.

Values from the calculation:
E_form (uncorrected): -1.116 eV/atom

Unit cell a=6.777 b=6.777 c=8.455 alpha=90.00 beta=90.00 gamma=90.00
Space group I4mm (No. 107)
Inequivalent atoms, fractional coordinates:
Cs1 0.000 0.500 0.000
Ru1 0.000 0.000 0.274
O1 0.000 0.000 0.481
O2 0.184 0.184 0.218

---

Record 16
A plane-wave DFT calculation with GGA-PBE was carried out for a geometry-optimized Tb3Y2Er6Th structure.

Values from the calculation:
energy of formation: 0.024 eV per atom
D(E_F): 31.561 states/eV/cell

Unit cell a=6.135 b=10.622 c=11.714 alpha=90.00 beta=100.07 gamma=90.00
Space group C2/m (No. 12)
Inequivalent atoms, fractional coordinates:
Tb1 0.000 0.000 0.000
Tb2 0.000 0.333 0.000
Y1 0.000 0.167 0.500
Er1 0.245 0.500 0.250
Er2 0.249 0.335 0.750
Th1 0.000 0.500 0.500

---

Record 17
A plane-wave DFT calculation with GGA-PBE was carried out for a geometry-optimized CrHgGe3 structure.

Values from the calculation:
energy of formation: 0.179 eV per atom
excess energy over the best structure of this formula in the dataset: 0.00 eV per formula unit
D(E_F): 1.290 states/eV/cell

Unit cell a=4.712 b=4.712 c=4.712 alpha=90.00 beta=90.00 gamma=90.00
Space group Pm-3m (No. 221)
Inequivalent atoms, fractional coordinates:
Cr1 0.000 0.000 0.000
Hg1 0.500 0.500 0.500
Ge1 0.000 0.000 0.500

---

Record 18
A plane-wave DFT calculation with GGA-PBE was carried out for a geometry-optimized Zn2BrCl structure.

Values from the calculation:
E_form (uncorrected): -0.163 eV/atom
excess energy over the best structure of this formula in the dataset: 1.81 eV per formula unit
D(E_F): 2.845 states/eV/cell

Unit cell a=3.826 b=3.846 c=7.300 alpha=90.00 beta=90.00 gamma=90.00
Space group Pmmm (No. 47)
Inequivalent atoms, fractional coordinates:
Zn1 0.000 0.000 0.000
Zn2 0.000 0.500 0.500
Br1 0.500 0.000 0.500
Cl1 0.500 0.500 0.000

---

Record 19
A plane-wave DFT calculation with GGA-PBE was carried out for a geometry-optimized BaZr2Fe structure.

Values from the calculation:
energy of formation: 0.778 eV per atom
excess energy over the best structure of this formula in the dataset: 2.10 eV per formula unit
D(E_F): 6.690 states/eV/cell

Unit cell a=3.408 b=5.287 c=5.320 alpha=90.00 beta=90.00 gamma=90.00
Space group Pmmm (No. 47)
Inequivalent atoms, fractional coordinates:
Ba1 0.000 0.000 0.000
Zr1 0.000 0.500 0.500
Zr2 0.500 0.000 0.500
Fe1 0.500 0.500 0.000

---

Record 20
A plane-wave DFT calculation with GGA-PBE was carried out for a geometry-optimized Li3NpSe4 structure.

Values from the calculation:
E_form (uncorrected): -1.116 eV/atom
D(E_F): 11.375 states/eV/cell

Unit cell a=6.782 b=7.893 c=6.912 alpha=90.00 beta=110.25 gamma=90.00
Space group P2/c (No. 13)
Inequivalent atoms, fractional coordinates:
Li1 0.000 0.114 0.250
Li2 0.000 0.365 0.750
Li3 0.500 0.119 0.750
Np1 0.500 0.360 0.250
Se1 0.246 0.126 0.009
Se2 0.258 0.383 0.500

---

Record 21
A plane-wave DFT calculation with GGA-PBE was carried out for a geometry-optimized Hf3NiW structure.

Values from the calculation:
energy of formation: 1.227 eV per atom
excess energy over the best structure of this formula in the dataset: 2.79 eV per formula unit
D(E_F): 8.091 states/eV/cell

Unit cell a=5.011 b=5.011 c=5.011 alpha=90.00 beta=90.00 gamma=90.00
Space group Pm-3m (No. 221)
Inequivalent atoms, fractional coordinates:
Hf1 0.000 0.000 0.500
Ni1 0.500 0.500 0.500
W1 0.000 0.000 0.000

---

Record 22
A plane-wave DFT calculation with GGA-PBE was carried out for a geometry-optimized PaInTe3 structure.

Values from the calculation:
E_form (uncorrected): -0.588 eV/atom
excess energy over the best structure of this formula in the dataset: 0.00 eV per formula unit

Unit cell a=4.383 b=14.739 c=11.552 alpha=90.00 beta=90.00 gamma=90.00
Space group Cmcm (No. 63)
Inequivalent atoms, fractional coordinates:
Pa1 0.000 0.000 0.000
In1 0.000 0.284 0.250
Te1 0.000 0.054 0.750
Te2 0.000 0.366 0.549

---

Record 23
A plane-wave DFT calculation with GGA-PBE was carried out for a geometry-optimized Tb5In2Ir2 structure.

Values from the calculation:
energy of formation: -0.600 eV per atom
D(E_F): 32.631 states/eV/cell

Unit cell a=16.387 b=7.693 c=7.558 alpha=90.00 beta=90.00 gamma=90.00
Space group Cmce (No. 64)
Inequivalent atoms, fractional coordinates:
Tb1 0.000 0.000 0.000
Tb2 0.116 0.172 0.334
In1 0.220 0.000 0.000
Ir1 0.000 0.132 0.633

---

no.,DFT total energy (eV/atom),spin magnetization (μB/atom)
1,-3.825,0.000
2,-6.001,0.000
3,-4.338,0.000
4,-7.022,0.000
5,-3.268,0.000
6,-7.779,0.000
7,-8.976,0.000
8,-4.052,0.000
9,-5.582,0.000
10,-7.074,0.000
11,-4.571,0.018
12,-2.662,0.000
13,-5.554,0.000
14,-5.214,0.000
15,-5.587,0.000
16,-5.110,0.000
17,-4.576,0.000
18,-1.680,0.000
19,-6.093,0.466
20,-5.193,0.250
21,-8.492,0.000
22,-4.919,0.000
23,-5.750,0.000